Here is crystalline Tb4YIr2 at its relaxed geometry from the Alexandria database. Energies are from PBE-GGA.

The formation energy comes out at -515 meV/atom.

It has space group P2_1/m (No. 11), with a = 7.885 Å, b = 6.371 Å, c = 7.900 Å, α = 90.00°, β = 112.56° and γ = 90.00°. Symmetry generates all atoms from Tb at (0.016, 0.250, 0.379), Tb at (0.249, 0.750, 0.334), Tb at (0.415, 0.003, 0.763), Y at (0.157, 0.250, 0.027), Ir at (0.258, 0.750, 0.987) and Ir at (0.373, 0.250, 0.410).

Here is crystalline YTcRu4 at its relaxed geometry from the Alexandria database. Energies are from PBE-GGA.

The formation energy comes out at 181 meV/atom.

It has space group F-43m (No. 216), with a = 7.326 Å, b = 7.326 Å, c = 7.326 Å, α = 90.00°, β = 90.00° and γ = 90.00°. Symmetry generates all atoms from Y at (0.000, 0.000, 0.000), Tc at (0.250, 0.250, 0.250) and Ru at (0.125, 0.125, 0.625).

Here is crystalline TcAuO3 at its relaxed geometry from the Alexandria database. Energies are from PBE-GGA.

As for the raw formation energy: -0.5479 eV per atom.

It has space group Pm-3m (No. 221), with a = 3.886 Å, b = 3.886 Å, c = 3.886 Å, α = 90.00°, β = 90.00° and γ = 90.00°. Symmetry generates all atoms from Tc at (0.000, 0.000, 0.000), Au at (0.500, 0.500, 0.500) and O at (0.000, 0.000, 0.500).

> Which formula does entry 1 have?

Tb4YIr2

Please write out number 3 again, unchanged.
Here is crystalline TcAuO3 at its relaxed geometry from the Alexandria database. Energies are from PBE-GGA.

As for the raw formation energy: -0.5479 eV per atom.

It has space group Pm-3m (No. 221), with a = 3.886 Å, b = 3.886 Å, c = 3.886 Å, α = 90.00°, β = 90.00° and γ = 90.00°. Symmetry generates all atoms from Tc at (0.000, 0.000, 0.000), Au at (0.500, 0.500, 0.500) and O at (0.000, 0.000, 0.500).